#w
Ho12Er7Pu PBE relaxed; symmetry = Im-3m; ρ = 7.96 g cm⁻³
1.0
-5.6140 5.6140 5.6140
5.6140 -5.6140 5.6140
5.6140 5.6140 -5.6140
Ho Er Pu
12 7 1
direct
0.0000 0.2527 0.7473
0.0000 0.7473 0.2527
0.2527 0.0000 0.7473
0.2527 0.2527 0.5055
0.2527 0.5055 0.2527
0.2527 0.7473 0.0000
0.4945 0.7473 0.7473
0.5055 0.2527 0.2527
0.7473 0.0000 0.2527
0.7473 0.2527 0.0000
0.7473 0.4945 0.7473
0.7473 0.7473 0.4945
0.0000 0.0000 0.5000
0.0000 0.5000 0.0000
0.0000 0.5000 0.5000
0.5000 0.0000 0.0000
0.5000 0.0000 0.5000
0.5000 0.5000 0.0000
0.5000 0.5000 0.5000
0.0000 0.0000 0.0000


#x
Ho12Er7Pu PBE relaxed; symmetry = R-3; ρ = 8.86 g cm⁻³
1.0
6.1110 3.5282 4.9146
-6.1110 3.5282 4.9146
0.0000 -7.0564 4.9146
Ho Er Pu
12 7 1
direct
0.1248 0.4566 0.3479
0.2273 0.3754 0.7693
0.2307 0.7727 0.6246
0.3479 0.1248 0.4566
0.3754 0.7693 0.2273
0.4566 0.3479 0.1248
0.5434 0.6521 0.8752
0.6246 0.2307 0.7727
0.6521 0.8752 0.5434
0.7693 0.2273 0.3754
0.7727 0.6246 0.2307
0.8752 0.5434 0.6521
0.0250 0.9302 0.3261
0.0698 0.6739 0.9750
0.3261 0.0250 0.9302
0.5000 0.5000 0.5000
0.6739 0.9750 0.0698
0.9302 0.3261 0.0250
0.9750 0.0698 0.6739
0.0000 0.0000 0.0000


Most stable structure - #x; separation to the second - 49.2 kJ/mol of atoms.


#w
Ho6Er2Pu PBE relaxed; symmetry = C2/m; ρ = 9.53 g cm⁻³
1.0
5.5463 -2.4780 0.0000
5.5463 2.4780 0.0000
-4.4481 0.0000 19.8804
Ho Er Pu
12 4 2
direct
0.0273 0.0273 0.1956
0.0838 0.0838 0.5847
0.1395 0.1395 0.9720
0.1964 0.1964 0.3595
0.3606 0.3606 0.5281
0.4159 0.4159 0.9154
0.5841 0.5841 0.0846
0.6394 0.6394 0.4719
0.8036 0.8036 0.6405
0.8605 0.8605 0.0280
0.9162 0.9162 0.4153
0.9727 0.9727 0.8044
0.3031 0.3031 0.1404
0.4718 0.4718 0.3042
0.5282 0.5282 0.6958
0.6969 0.6969 0.8596
0.2503 0.2503 0.7501
0.7497 0.7497 0.2499


#x
Ho6Er2Pu PBE relaxed; symmetry = R3m; ρ = 9.14 g cm⁻³
1.0
3.6150 2.0871 6.2914
-3.6150 2.0871 6.2914
0.0000 -4.1742 6.2914
Ho Er Pu
6 2 1
direct
0.1714 0.1714 0.6572
0.1714 0.6572 0.1714
0.3753 0.3753 0.8280
0.3753 0.8280 0.3753
0.6572 0.1714 0.1714
0.8280 0.3753 0.3753
0.6741 0.6741 0.6741
0.8524 0.8524 0.8524
0.1083 0.1083 0.1083


Most stable structure - #w; separation to the second - 28.2 kJ/mol of atoms.


#w
HoErPu PBE relaxed; symmetry = Cmmm; ρ = 9.39 g cm⁻³
1.0
5.5714 -5.5749 0.0000
5.5714 5.5749 0.0000
0.0000 0.0000 3.2803
Ho Er Pu
2 2 2
direct
0.2370 0.7630 0.0000
0.7630 0.2370 0.0000
0.2629 0.2629 0.5000
0.7371 0.7371 0.5000
0.0000 0.0000 0.5000
0.5000 0.5000 0.0000


#x
HoErPu PBE relaxed; symmetry = P3m1; ρ = 10.71 g cm⁻³
1.0
3.4853 0.0000 0.0000
-1.7427 3.0184 0.0000
0.0000 0.0000 8.4894
Ho Er Pu
1 1 1
direct
0.0000 0.0000 0.0000
0.3333 0.6667 0.6639
0.6667 0.3333 0.3326


Most stable structure - #x; separation to the second - 60.2 kJ/mol of atoms.


#w
HoErRh PBE relaxed; symmetry = I4/mmm; ρ = 9.94 g cm⁻³
1.0
-2.2406 2.2406 7.2408
2.2406 -2.2406 7.2408
2.2406 2.2406 -7.2408
Ho Er Rh
2 2 2
direct
0.1857 0.1857 0.0000
0.8143 0.8143 0.0000
0.0000 0.5000 0.5000
0.5000 0.0000 0.5000
0.3720 0.3720 0.0000
0.6280 0.6280 0.0000


#x
HoErRh PBE relaxed; symmetry = I4mm; ρ = 9.84 g cm⁻³
1.0
-1.7130 1.7130 6.2578
1.7130 -1.7130 6.2578
1.7130 1.7130 -6.2578
Ho Er Rh
1 1 1
direct
0.0000 0.0000 0.0000
0.7372 0.7372 0.0000
0.3675 0.3675 0.0000


Most stable structure - #x; separation to the second - 1.9 kJ/mol of atoms.


#w
HoErRh PBE relaxed; symmetry = P2_1/c; ρ = 9.54 g cm⁻³
1.0
6.3937 0.0000 0.0000
0.0000 7.1611 0.0000
-0.6476 0.0000 6.6193
Ho Er Rh
4 4 4
direct
0.0997 0.1125 0.2753
0.0997 0.3875 0.7753
0.9003 0.6125 0.2247
0.9003 0.8875 0.7247
0.4255 0.7380 0.4963
0.4255 0.7620 0.9963
0.5745 0.2380 0.0037
0.5745 0.2620 0.5037
0.2921 0.0472 0.7045
0.2921 0.4528 0.2045
0.7079 0.5472 0.7955
0.7079 0.9528 0.2955


#x
HoErRh PBE relaxed; symmetry = F-43m; ρ = 9.38 g cm⁻³
1.0
0.0000 3.3769 3.3769
3.3769 0.0000 3.3769
3.3769 3.3769 0.0000
Ho Er Rh
1 1 1
direct
0.0000 0.0000 0.0000
0.5000 0.5000 0.5000
0.7500 0.7500 0.7500


Most stable structure - #w; separation to the second - 6.4 kJ/mol of atoms.


#w
Ho3ErRh PBE relaxed; symmetry = Pm-3m; ρ = 8.20 g cm⁻³
1.0
5.3703 0.0000 0.0000
0.0000 5.3703 0.0000
0.0000 0.0000 5.3703
Ho Er Rh
3 1 1
direct
0.0000 0.0000 0.5000
0.0000 0.5000 0.0000
0.5000 0.0000 0.0000
0.5000 0.5000 0.5000
0.0000 0.0000 0.0000


#x
Ho3ErRh PBE relaxed; symmetry = Cm; ρ = 9.31 g cm⁻³
1.0
5.9461 -1.8688 0.0000
5.9461 1.8688 0.0000
-5.8222 0.0000 12.2833
Ho Er Rh
6 2 2
direct
0.0000 0.0000 0.0000
0.0142 0.0142 0.3620
0.3367 0.3367 0.7603
0.3508 0.3508 0.1232
0.5592 0.5592 0.6060
0.6677 0.6677 0.8867
0.6832 0.6832 0.2367
0.7917 0.7917 0.5160
0.3506 0.3506 0.3902
0.9992 0.9992 0.7314


Most stable structure - #x; separation to the second - 18.3 kJ/mol of atoms.


#w
HoEr3Rh2 PBE relaxed; symmetry = Pmc2_1; ρ = 10.15 g cm⁻³
1.0
4.6186 0.0000 0.0000
0.0000 8.6604 0.0000
0.0000 0.0000 7.1384
Ho Er Rh
2 6 4
direct
0.0000 0.0852 0.0000
0.0000 0.9148 0.5000
0.0000 0.3311 0.6291
0.0000 0.6689 0.1291
0.5000 0.1697 0.3466
0.5000 0.4149 0.9755
0.5000 0.5851 0.4755
0.5000 0.8303 0.8466
0.0000 0.3418 0.2309
0.0000 0.6582 0.7309
0.5000 0.1591 0.7445
0.5000 0.8409 0.2445


#x
HoEr3Rh2 PBE relaxed; symmetry = Ibam; ρ = 9.23 g cm⁻³
1.0
-3.3242 6.7328 3.5066
3.3242 -6.7328 3.5066
3.3242 6.7328 -3.5066
Ho Er Rh
2 6 4
direct
0.0000 0.0000 0.0000
0.5000 0.5000 0.0000
0.0182 0.2500 0.7682
0.2500 0.7500 0.5000
0.4818 0.2500 0.2318
0.5182 0.7500 0.7682
0.7500 0.2500 0.5000
0.9818 0.7500 0.2318
0.1384 0.7111 0.8495
0.3616 0.2111 0.5727
0.6384 0.7889 0.4273
0.8616 0.2889 0.1505


Most stable structure - #w; separation to the second - 8.5 kJ/mol of atoms.


#w
Ho2ErRh PBE relaxed; symmetry = P4/mmm; ρ = 9.66 g cm⁻³
1.0
3.4857 0.0000 0.0000
0.0000 3.4857 0.0000
0.0000 0.0000 8.4926
Ho Er Rh
2 1 1
direct
0.0000 0.0000 0.1909
0.0000 0.0000 0.8091
0.5000 0.5000 0.5000
0.5000 0.5000 0.0000


#x
Ho2ErRh PBE relaxed; symmetry = R-3m; ρ = 8.90 g cm⁻³
1.0
1.8532 1.0699 9.4067
-1.8532 1.0699 9.4067
0.0000 -2.1399 9.4067
Ho Er Rh
2 1 1
direct
0.2274 0.2274 0.2274
0.7726 0.7726 0.7726
0.0000 0.0000 0.0000
0.5000 0.5000 0.5000


#y
Ho2ErRh PBE relaxed; symmetry = Cmcm; ρ = 9.55 g cm⁻³
1.0
1.8988 -5.8969 0.0000
1.8988 5.8969 0.0000
0.0000 0.0000 9.3175
Ho Er Rh
4 2 2
direct
0.1383 0.8617 0.5667
0.1383 0.8617 0.9333
0.8617 0.1383 0.0667
0.8617 0.1383 0.4333
0.4243 0.5757 0.7500
0.5757 0.4243 0.2500
0.2545 0.7455 0.2500
0.7455 0.2545 0.7500


Most stable structure - #y; separation to the second - 10.0 kJ/mol of atoms.